Computed, not measured: a relaxed structure of KBAu3 at the PBE-GGA level of DFT.

Cell lengths 5.766, 5.766, 5.766 Å; angles 90.00, 90.00, 90.00 degrees
Space group Pm-3m (No. 221)
Unique sites:
K 0.000 0.000 0.000 [1 per cell]
B 0.500 0.500 0.500 [1 per cell]
Au 0.000 0.000 0.500 [3 per cell]

Results
DFT total energy, eV for the cell shown: -7.49
Crystal system: cubic